(1)
# MgIn2Pb

An optimized crystal structure of MgIn2Pb (PBE, the Alexandria database).

Results
The calculation puts the total magnetization at 0.00 μB per cell. The calculation puts the calculated formation energy at -0.022 eV/atom. The mass density is 7.153 g/cm³.

a b c (Å): 10.8964 3.4645 5.7742
angles (deg): 90.00 100.82 90.00
Last column: nearest neighbours and their distance in Å.
Fractional positions:
Mg 0.0000 0.0000 0.0000  7 In 3.25-3.43, 3 Pb 3.28-3.32, 2 Mg 3.46
Mg 0.5000 0.5000 0.0000  7 In 3.25-3.43, 3 Pb 3.28-3.32, 2 Mg 3.46
In 0.2418 0.5000 0.2458  5 In 3.24-3.46, 3 Mg 3.25-3.38, 4 Pb 3.33-3.40
In 0.4956 0.0000 0.4858  5 In 3.24-3.46, 4 Mg 3.31-3.43, 3 Pb 3.31-3.42
In 0.7418 0.0000 0.2458  5 In 3.24-3.46, 3 Mg 3.25-3.38, 4 Pb 3.33-3.40
In 0.9956 0.5000 0.4858  5 In 3.24-3.46, 4 Mg 3.31-3.43, 3 Pb 3.31-3.42
Pb 0.2532 0.0000 0.7569  3 Mg 3.28-3.32, 7 In 3.31-3.42, 2 Pb 3.46
Pb 0.7532 0.5000 0.7569  3 Mg 3.28-3.32, 7 In 3.31-3.42, 2 Pb 3.46

(2)
# Mg2InPb

An optimized crystal structure of Mg2InPb (PBE, the Alexandria database).

Results
The calculation puts the total magnetization at 0.00 μB per cell. The calculation puts the calculated formation energy at -0.020 eV/atom. The mass density is 6.064 g/cm³.

a b c (Å): 3.6639 5.0750 10.9160
angles (deg): 90.00 90.00 90.00
Last column: nearest neighbours and their distance in Å.
Fractional positions:
Mg 0.0000 0.0000 0.0000  4 Pb 3.13, 2 In 3.21, 2 Mg 3.24
Mg 0.0000 0.5000 0.2549  4 In 3.13, 2 Mg 3.24, 2 Pb 3.33
Mg 0.5000 0.0000 0.7549  4 In 3.13, 2 Mg 3.24, 2 Pb 3.33
Mg 0.5000 0.5000 0.5000  4 Pb 3.13, 2 In 3.21, 2 Mg 3.24
In 0.0000 0.5000 0.7413  6 Mg 3.13-3.21, 2 Pb 3.37
In 0.5000 0.0000 0.2413  6 Mg 3.13-3.21, 2 Pb 3.37
Pb 0.0000 0.0000 0.5006  6 Mg 3.13-3.33, 2 In 3.37
Pb 0.5000 0.5000 0.0006  6 Mg 3.13-3.33, 2 In 3.37

Question: Among the records above, which one has the highest calculated formation energy?
Answer: Mg2InPb